{
  "formula": "MgAg5Hg2",
  "functional": "PBE",
  "state": "optimized geometry",
  "volume_a3_per_cell": 609.99,
  "magnetic_moment_mub_per_fu": 0.0,
  "relative_energy_mev_per_atom": 22,
  "delta_e_f_kj_per_mol_atoms": -3,
  "n_ef_per_ev_cell": 8.835,
  "lattice": [[5.6619, 0.0000, 0.0000], [1.2798, 9.4020, 0.0000], [0.6643, 3.4068, 11.4587]],
  "species": ["Mg", "Mg", "Mg", "Mg", "Ag", "Ag", "Ag", "Ag", "Ag", "Ag", "Ag", "Ag", "Ag", "Ag", "Ag", "Ag", "Ag", "Ag", "Ag", "Ag", "Ag", "Ag", "Ag", "Ag", "Hg", "Hg", "Hg", "Hg", "Hg", "Hg", "Hg", "Hg"],
  "fractional_positions": [[0.0230, 0.4868, 0.2178], [0.2307, 0.7639, 0.2810], [0.7693, 0.2361, 0.7190], [0.9770, 0.5132, 0.7822], [0.0301, 0.0728, 0.1534], [0.0941, 0.6322, 0.5313], [0.1587, 0.6193, 0.9695], [0.2209, 0.1786, 0.3446], [0.2703, 0.3229, 0.6540], [0.2834, 0.7453, 0.7189], [0.3418, 0.8821, 0.0318], [0.4113, 0.8686, 0.4690], [0.4673, 0.0035, 0.7809], [0.4794, 0.4283, 0.8439], [0.5206, 0.5717, 0.1561], [0.5327, 0.9965, 0.2191], [0.5887, 0.1314, 0.5310], [0.6582, 0.1179, 0.9682], [0.7166, 0.2547, 0.2811], [0.7297, 0.6771, 0.3460], [0.7791, 0.8214, 0.6554], [0.8413, 0.3807, 0.0305], [0.9059, 0.3678, 0.4687], [0.9699, 0.9272, 0.8466], [0.1038, 0.0592, 0.5979], [0.1413, 0.1920, 0.8979], [0.3543, 0.3093, 0.0964], [0.3904, 0.4429, 0.3996], [0.6096, 0.5571, 0.6004], [0.6457, 0.6907, 0.9036], [0.8587, 0.8080, 0.1021], [0.8962, 0.9408, 0.4021]]
}